Computed, not measured: a relaxed structure of LiPdPb2 at the PBE level of DFT.

The space group is Pmma (No. 51) and the conventional cell measures 5.4332, 4.3966 and 7.4470 Å, with angles of 90.00, 90.00 and 90.00 degrees. The inequivalent atoms are Li at (0.0000, 0.0000, 0.0000), Pd at (0.2500, 0.5000, 0.1063), Pb at (0.2500, 0.0000, 0.3696) and Pb at (0.2500, 0.5000, 0.7295).

For the electronic total energy, the calculation gives -31.198 eV per cell. The density is 9.85 g cm⁻³.